The following is a GGA-PBE calculation of Dy3YIn2 after structural relaxation, from Alexandria via LeMat-Bulk.

The space group is Pmc2_1 (No. 26) and the conventional cell measures 5.182, 9.809 and 6.741 Å, with angles of 90.00, 90.00 and 90.00 degrees. The distinct sites, in fractional coordinates, are Dy at (0.000, 0.038, 0.000), Dy at (0.000, 0.318, 0.352), Dy at (0.500, 0.181, 0.721), Y at (0.500, 0.462, 0.072), In at (0.000, 0.359, 0.825) and In at (0.500, 0.142, 0.247).

For the energy, the calculation gives -4.657 eV per atom.